DFT (GGA-PBEsol) results for a geometry-optimized TlInAsBr2 structure.

Unit cell a=5.5113 b=5.5113 c=5.2270 alpha=90.00 beta=90.00 gamma=90.00
Sites, in units of the cell vectors:
Tl  0.0000  0.0000  0.0000
In  0.5000  0.5000  0.5000
As  0.5000  0.5000  0.0000
Br  0.0000  0.5000  0.5000
Br  0.5000  0.0000  0.5000

Summary:
E_form (uncorrected): -12 kJ/mol of atoms
volume: 31.753 Å³/atom
M_tot: 1.15 μB/f.u.